PtSe2Br8: relaxed, GGA-PBE.

Structure (POSCAR):
```
PtSe2Br8
1.0
6.9374 0.5144 0.3903
0.7575 8.2109 0.6386
0.7575 2.8259 7.7356
Se Br Pt
2 8 1
direct
0.3017 0.2356 0.2356 Se
0.6983 0.7644 0.7644 Se
0.8821 0.7058 0.0932 Br
0.1179 0.2942 0.9068 Br
0.6214 0.1341 0.1341 Br
0.6270 0.6048 0.6048 Br
0.3786 0.8659 0.8659 Br
0.3730 0.3952 0.3952 Br
0.1179 0.9068 0.2942 Br
0.8821 0.0932 0.7058 Br
0.0000 0.0000 0.0000 Pt
```

Values from the calculation:
Space group   C2/m, No. 12
DOS(E_F)   0.34 states/eV/atom
Volume   424 Å³/f.u.
Energy relative to the elements, uncorrected   -0.08 eV per atom